Density functional theory data (PBE) for crystalline SiTe4Os at its relaxed geometry.

Unit cell a=6.166 b=6.166 c=6.166 alpha=60.00 beta=60.00 gamma=60.00
Atoms (fractional coordinates):
Si  0.000  0.000  0.000
Te  0.127  0.624  0.624
Te  0.624  0.127  0.624
Te  0.624  0.624  0.127
Te  0.624  0.624  0.624
Os  0.250  0.250  0.250

- calculated total energy (eV per atom) = -3.292
- calculated density (kg/m³) = 7300
- SG = F-43m (216)



Density functional theory data (PBE) for crystalline AcPm8Ir2 at its relaxed geometry.

Unit cell a=8.320 b=8.320 c=5.782 alpha=95.38 beta=95.38 gamma=115.60
Atoms (fractional coordinates):
Ac  0.000  0.000  0.000
Pm  0.077  0.338  0.563
Pm  0.264  0.736  0.000
Pm  0.338  0.077  0.563
Pm  0.411  0.411  0.210
Pm  0.589  0.589  0.790
Pm  0.662  0.923  0.437
Pm  0.736  0.264  0.000
Pm  0.923  0.662  0.437
Ir  0.299  0.701  0.500
Ir  0.701  0.299  0.500

- calculated density (kg/m³) = 8278
- SG = C2/m (12)
- E_form (eV per atom) = -0.22



Density functional theory data (PBE) for crystalline Pm2BiPdO6 at its relaxed geometry.

Unit cell a=6.466 b=6.466 c=5.133 alpha=112.48 beta=112.48 gamma=51.86
Atoms (fractional coordinates):
Pm  0.247  0.247  0.206
Pm  0.753  0.753  0.794
Bi  0.500  0.500  0.000
Pd  0.000  0.000  0.500
O  0.142  0.665  0.186
O  0.296  0.296  0.680
O  0.335  0.858  0.814
O  0.665  0.142  0.186
O  0.704  0.704  0.320
O  0.858  0.335  0.814

- calculated total energy (eV per atom) = -6.846
- calculated density (kg/m³) = 7623
- SG = C2/m (12)



Density functional theory data (PBE) for crystalline La3Er4Tm2 at its relaxed geometry.

Unit cell a=9.899 b=9.899 c=6.377 alpha=100.83 beta=100.83 gamma=82.05
Atoms (fractional coordinates):
La  0.039  0.961  0.750
La  0.335  0.460  0.012
La  0.460  0.335  0.512
La  0.540  0.665  0.488
La  0.665  0.540  0.988
La  0.961  0.039  0.250
Er  0.004  0.639  0.897
Er  0.199  0.617  0.494
Er  0.361  0.996  0.603
Er  0.383  0.801  0.006
Er  0.617  0.199  0.994
Er  0.639  0.004  0.397
Er  0.801  0.383  0.506
Er  0.996  0.361  0.103
Tm  0.134  0.290  0.613
Tm  0.290  0.134  0.113
Tm  0.710  0.866  0.887
Tm  0.866  0.710  0.387

- calculated density (kg/m³) = 7889
- polymorph energy (0 for the lowest one) (eV per atom) = 0.033
- SG = C2/c (15)
- E_form (eV per atom) = 0.14



> Which of these has the lowest calculated density?

SiTe4Os



> The highest calculated density belongs to which entry?

AcPm8Ir2



What did the second record say?
Density functional theory data (PBE) for crystalline AcPm8Ir2 at its relaxed geometry.

Unit cell a=8.320 b=8.320 c=5.782 alpha=95.38 beta=95.38 gamma=115.60
Atoms (fractional coordinates):
Ac  0.000  0.000  0.000
Pm  0.077  0.338  0.563
Pm  0.264  0.736  0.000
Pm  0.338  0.077  0.563
Pm  0.411  0.411  0.210
Pm  0.589  0.589  0.790
Pm  0.662  0.923  0.437
Pm  0.736  0.264  0.000
Pm  0.923  0.662  0.437
Ir  0.299  0.701  0.500
Ir  0.701  0.299  0.500

- calculated density (kg/m³) = 8278
- SG = C2/m (12)
- E_form (eV per atom) = -0.22